[1]
## Cs2U3FeO12 (GGA+U)

Data for crystalline Cs2U3FeO12 at its relaxed geometry.

Cell: 7.468 7.468 7.468 Å, 63.87 63.87 63.87°
Atoms (fractional coordinates):
Cs 0.128 0.128 0.128
Cs 0.872 0.872 0.872
U 0.000 0.500 0.500
U 0.500 0.000 0.500
U 0.500 0.500 0.000
Fe 0.500 0.500 0.500
O 0.176 0.176 0.558
O 0.176 0.558 0.176
O 0.209 0.554 0.554
O 0.442 0.824 0.824
O 0.446 0.446 0.791
O 0.446 0.791 0.446
O 0.554 0.209 0.554
O 0.554 0.554 0.209
O 0.558 0.176 0.176
O 0.791 0.446 0.446
O 0.824 0.442 0.824
O 0.824 0.824 0.442

Calculated values
* density of states at the Fermi level: 0.327 states/eV/atom
* total DFT energy (no corrections): -8.1124 eV/atom
* space-group type: No. 166
* calculated volume: 17.760 Å³/atom

***

[2]
## CsVFeO4 (GGA+U)

Data for crystalline CsVFeO4 at its relaxed geometry.

Cell: 5.170 5.936 8.921 Å, 90.00 106.23 90.00°
Atoms (fractional coordinates):
Cs 0.203 0.250 0.143
Cs 0.797 0.750 0.857
V 0.366 0.250 0.709
V 0.634 0.750 0.291
Fe 0.131 0.750 0.512
Fe 0.869 0.250 0.488
O 0.145 0.011 0.663
O 0.145 0.489 0.663
O 0.429 0.750 0.413
O 0.443 0.750 0.103
O 0.557 0.250 0.897
O 0.571 0.250 0.587
O 0.855 0.511 0.337
O 0.855 0.989 0.337

Calculated values
* density of states at the Fermi level: 0.000 states/eV/atom
* total DFT energy (no corrections): -6.6186 eV/atom
* space-group type: No. 11
* calculated volume: 18.777 Å³/atom

***

[3]
## CsFeW2O8 (GGA+U)

Data for crystalline CsFeW2O8 at its relaxed geometry.

Cell: 5.549 5.549 8.687 Å, 90.00 90.00 120.00°
Atoms (fractional coordinates):
Cs 0.000 0.000 0.000
Fe 0.000 0.000 0.500
W 0.333 0.667 0.692
W 0.667 0.333 0.308
O 0.077 0.315 0.631
O 0.239 0.923 0.631
O 0.315 0.239 0.369
O 0.333 0.667 0.897
O 0.667 0.333 0.103
O 0.685 0.761 0.631
O 0.761 0.077 0.369
O 0.923 0.685 0.369

Calculated values
* density of states at the Fermi level: 0.277 states/eV/atom
* total DFT energy (no corrections): -6.6972 eV/atom
* space-group type: No. 147
* calculated volume: 19.302 Å³/atom

***

[4]
## CsFe2WO8 (GGA+U)

Data for crystalline CsFe2WO8 at its relaxed geometry.

Cell: 5.532 5.532 8.452 Å, 90.00 90.00 120.00°
Atoms (fractional coordinates):
Cs 0.000 0.000 0.000
Fe 0.333 0.667 0.701
Fe 0.667 0.333 0.299
W 0.000 0.000 0.500
O 0.076 0.316 0.633
O 0.240 0.924 0.633
O 0.316 0.240 0.367
O 0.333 0.667 0.900
O 0.667 0.333 0.100
O 0.684 0.760 0.633
O 0.760 0.076 0.367
O 0.924 0.684 0.367

Calculated values
* density of states at the Fermi level: 0.695 states/eV/atom
* total DFT energy (no corrections): -6.1498 eV/atom
* space-group type: No. 147
* calculated volume: 18.665 Å³/atom

***

[5]
## CsYFeO3 (GGA+U)

Data for crystalline CsYFeO3 at its relaxed geometry.

Cell: 7.950 3.684 9.581 Å, 90.00 114.23 90.00°
Atoms (fractional coordinates):
Cs 0.024 0.250 0.303
Cs 0.976 0.750 0.697
Y 0.459 0.750 0.633
Y 0.541 0.250 0.367
Fe 0.410 0.250 0.874
Fe 0.590 0.750 0.126
O 0.280 0.250 0.649
O 0.363 0.750 0.381
O 0.481 0.750 0.890
O 0.519 0.250 0.110
O 0.637 0.250 0.619
O 0.720 0.750 0.351

Calculated values
* density of states at the Fermi level: 0.000 states/eV/atom
* total DFT energy (no corrections): -6.5787 eV/atom
* space-group type: No. 11
* calculated volume: 21.321 Å³/atom